LiTlCu2: relaxed, PBE.

Calculated values
- M_tot: 0.000 μB/f.u.
- Electronic total energy: -12.3 eV/f.u.

```
LiTlCu2
1.0
3.192 0.000 0.000
0.000 3.192 0.000
0.000 0.000 6.343
Li Tl Cu
1 1 2
Direct
0.000 0.000 0.000
0.500 0.500 0.299
0.000 0.000 0.593
0.500 0.500 0.768
```